Material: Rb2TlBi2
Method: DFT, GGA-PBE
State: optimized geometry

Output
Relative energy among the computed polymorphs, eV per formula unit: 0.13
Space group: P4/mbm, No. 127
Size of the total moment, μB/cell: 0.000

Cell and atoms, written as CIF:
```
data_Rb2TlBi2
_chemical_formula_sum 'Rb4 Tl2 Bi4'
_space_group_name_H-M_alt 'P 1'
_space_group_IT_number 1
_cell_length_a 8.451
_cell_length_b 8.451
_cell_length_c 6.018
_cell_angle_alpha 90.00
_cell_angle_beta 90.00
_cell_angle_gamma 90.00
loop_
_space_group_symop_operation_xyz
'x,y,z'
loop_
_atom_site_label
_atom_site_fract_x
_atom_site_fract_y
_atom_site_fract_z
_atom_site_occupancy
Rb1 0.170 0.330 0.000 1
Rb2 0.330 0.830 0.000 1
Rb3 0.670 0.170 0.000 1
Rb4 0.830 0.670 0.000 1
Tl1 0.000 0.000 0.500 1
Tl2 0.500 0.500 0.500 1
Bi1 0.129 0.629 0.500 1
Bi2 0.371 0.129 0.500 1
Bi3 0.629 0.871 0.500 1
Bi4 0.871 0.371 0.500 1
```